{
  "formula": "Rb2YIrF6",
  "functional": "PBE-GGA",
  "state": "relaxed",
  "lattice": [[-3.414, 3.414, 4.295], [3.414, -3.414, 4.295], [3.414, 3.414, -4.295]],
  "species": ["Rb", "Rb", "Y", "Ir", "F", "F", "F", "F", "F", "F"],
  "fractional_positions": [[0.250, 0.750, 0.500], [0.750, 0.250, 0.500], [0.000, 0.000, 0.000], [0.500, 0.500, 0.000], [0.225, 0.225, 0.449], [0.225, 0.775, 0.000], [0.255, 0.255, 0.000], [0.745, 0.745, 0.000], [0.775, 0.225, 0.000], [0.775, 0.775, 0.551]],
  "total_energy_ev_per_atom": -5.325,
  "raw_formation_energy_ev_per_atom": -2.48,
  "spacegroup": "No. 139"
}


{
  "formula": "Rb2ZnIrF6",
  "functional": "PBE-GGA",
  "state": "relaxed",
  "lattice": [[-3.025, 3.025, 4.273], [3.025, -3.025, 4.273], [3.025, 3.025, -4.273]],
  "species": ["Rb", "Rb", "Zn", "Ir", "F", "F", "F", "F", "F", "F"],
  "fractional_positions": [[0.250, 0.750, 0.500], [0.750, 0.250, 0.500], [0.000, 0.000, 0.000], [0.500, 0.500, 0.000], [0.247, 0.247, 0.000], [0.247, 0.247, 0.494], [0.247, 0.753, 0.000], [0.753, 0.247, 0.000], [0.753, 0.753, 0.000], [0.753, 0.753, 0.506]],
  "total_energy_ev_per_atom": -4.292,
  "raw_formation_energy_ev_per_atom": -1.96,
  "spacegroup": "No. 139"
}


{
  "formula": "RbZnIrF6",
  "functional": "PBE-GGA",
  "state": "relaxed",
  "lattice": [[-3.669, 3.721, 5.357], [3.669, -3.721, 5.357], [3.669, 3.721, -5.357]],
  "species": ["Rb", "Rb", "Zn", "Zn", "Ir", "Ir", "F", "F", "F", "F", "F", "F", "F", "F", "F", "F", "F", "F"],
  "fractional_positions": [[0.398, 0.148, 0.250], [0.602, 0.852, 0.750], [0.000, 0.500, 0.500], [0.500, 0.500, 0.000], [0.000, 0.000, 0.500], [0.000, 0.500, 0.000], [0.082, 0.832, 0.250], [0.087, 0.422, 0.249], [0.087, 0.837, 0.665], [0.315, 0.565, 0.750], [0.327, 0.163, 0.749], [0.327, 0.578, 0.165], [0.673, 0.422, 0.835], [0.673, 0.837, 0.251], [0.685, 0.435, 0.250], [0.913, 0.163, 0.335], [0.913, 0.578, 0.751], [0.918, 0.168, 0.750]],
  "total_energy_ev_per_atom": -4.499,
  "raw_formation_energy_ev_per_atom": -2.02,
  "spacegroup": "No. 74"
}


Question: What is the formula in the second record?
Answer: Rb2ZnIrF6